{"formula": "Li6MgAu2", "functional": "GGA-PBE", "state": "relaxed", "lattice_angstrom": [[7.106, -3.835, 0.000], [7.106, 3.835, 0.000], [-0.491, 0.000, 2.809]], "species": ["Li", "Li", "Li", "Li", "Li", "Li", "Mg", "Au", "Au"], "frac_coords": [[0.144, 0.510, 0.841], [0.157, 0.843, 0.000], [0.490, 0.856, 0.159], [0.510, 0.144, 0.841], [0.843, 0.157, 0.000], [0.856, 0.490, 0.159], [0.500, 0.500, 0.500], [0.154, 0.154, 0.630], [0.846, 0.846, 0.370]], "formation_energy_ev_per_atom": -0.28, "magnetic_moment_mub_per_fu": 0.00, "e_above_lowest_polymorph_mev_per_atom": 54}



{"formula": "Ce2P4PdRh3", "functional": "GGA-PBE", "state": "relaxed", "lattice_angstrom": [[4.216, 0.000, 0.000], [0.000, 4.216, 0.000], [0.000, 0.000, 9.424]], "species": ["Ce", "Ce", "P", "P", "P", "P", "Pd", "Rh", "Rh", "Rh"], "frac_coords": [[0.000, 0.500, 0.243], [0.500, 0.000, 0.757], [0.000, 0.000, 0.000], [0.000, 0.500, 0.638], [0.500, 0.000, 0.362], [0.500, 0.500, 0.000], [0.000, 0.000, 0.500], [0.000, 0.500, 0.889], [0.500, 0.000, 0.111], [0.500, 0.500, 0.500]], "formation_energy_ev_per_atom": -1.09, "magnetic_moment_mub_per_fu": 0.44}



{"formula": "Ca13Y6F43", "functional": "GGA-PBE", "state": "relaxed", "lattice_angstrom": [[8.544, 4.933, 3.255], [-8.544, 4.933, 3.255], [0.000, -9.865, 3.255]], "species": ["Ca", "Ca", "Ca", "Ca", "Ca", "Ca", "Ca", "Ca", "Ca", "Ca", "Ca", "Ca", "Ca", "Y", "Y", "Y", "Y", "Y", "Y", "F", "F", "F", "F", "F", "F", "F", "F", "F", "F", "F", "F", "F", "F", "F", "F", "F", "F", "F", "F", "F", "F", "F", "F", "F", "F", "F", "F", "F", "F", "F", "F", "F", "F", "F", "F", "F", "F", "F", "F", "F", "F", "F"], "frac_coords": [[0.000, 0.000, 0.000], [0.091, 0.399, 0.607], [0.136, 0.771, 0.194], [0.194, 0.136, 0.771], [0.298, 0.873, 0.928], [0.399, 0.607, 0.091], [0.450, 0.965, 0.660], [0.607, 0.091, 0.399], [0.660, 0.450, 0.965], [0.771, 0.194, 0.136], [0.873, 0.928, 0.298], [0.928, 0.298, 0.873], [0.965, 0.660, 0.450], [0.228, 0.500, 0.339], [0.339, 0.228, 0.500], [0.500, 0.339, 0.228], [0.569, 0.727, 0.838], [0.727, 0.838, 0.569], [0.838, 0.569, 0.727], [0.001, 0.251, 0.100], [0.004, 0.443, 0.372], [0.057, 0.623, 0.685], [0.087, 0.800, 0.972], [0.100, 0.001, 0.251], [0.125, 0.160, 0.548], [0.160, 0.372, 0.837], [0.160, 0.548, 0.125], [0.177, 0.321, 0.420], [0.186, 0.722, 0.410], [0.230, 0.912, 0.707], [0.251, 0.100, 0.001], [0.321, 0.420, 0.177], [0.347, 0.652, 0.614], [0.349, 0.661, 0.876], [0.372, 0.004, 0.443], [0.372, 0.837, 0.160], [0.410, 0.186, 0.722], [0.420, 0.177, 0.321], [0.442, 0.459, 0.738], [0.443, 0.372, 0.004], [0.459, 0.738, 0.442], [0.521, 0.940, 0.892], [0.548, 0.125, 0.160], [0.614, 0.347, 0.652], [0.615, 0.615, 0.615], [0.623, 0.685, 0.057], [0.652, 0.614, 0.347], [0.661, 0.876, 0.349], [0.685, 0.057, 0.623], [0.707, 0.230, 0.912], [0.720, 0.916, 0.798], [0.722, 0.410, 0.186], [0.738, 0.442, 0.459], [0.798, 0.720, 0.916], [0.800, 0.972, 0.087], [0.837, 0.160, 0.372], [0.876, 0.349, 0.661], [0.892, 0.521, 0.940], [0.912, 0.707, 0.230], [0.916, 0.798, 0.720], [0.940, 0.892, 0.521], [0.972, 0.087, 0.800]], "formation_energy_uncorrected_kcal_per_mol_atoms": -91.30, "magnetic_moment_mub_per_fu": 1.00}